(1)
Material: Mg2GePt2
Method: DFT, PBE
State: optimized geometry

Results
Density of states at the Fermi level in states/eV per atom: 0.382
Energy of formation from the pure elements in eV/atom: -0.455
Space group: P4/mbm
Relative energy among the computed polymorphs in meV/atom: 273

Unit cell a=7.747 b=7.747 c=2.910 alpha=90.00 beta=90.00 gamma=90.00
Sites, in units of the cell vectors:
Mg1 0.139 0.361 0.000
Mg2 0.361 0.861 0.000
Mg3 0.639 0.139 0.000
Mg4 0.861 0.639 0.000
Ge1 0.000 0.000 0.000
Ge2 0.500 0.500 0.000
Pt1 0.156 0.656 0.500
Pt2 0.344 0.156 0.500
Pt3 0.656 0.844 0.500
Pt4 0.844 0.344 0.500

***

(2)
Material: Mg2GePt
Method: DFT, PBE
State: optimized geometry

Results
Density of states at the Fermi level in states/eV per atom: 0.370
Energy of formation from the pure elements in eV/atom: -0.455
Space group: C2/c

Unit cell a=9.203 b=4.814 c=8.480 alpha=90.00 beta=117.88 gamma=90.00
Sites, in units of the cell vectors:
Mg1 0.187 0.038 0.098
Mg2 0.187 0.962 0.598
Mg3 0.313 0.462 0.902
Mg4 0.313 0.538 0.402
Mg5 0.687 0.462 0.598
Mg6 0.687 0.538 0.098
Mg7 0.813 0.038 0.402
Mg8 0.813 0.962 0.902
Ge1 0.000 0.296 0.250
Ge2 0.000 0.704 0.750
Ge3 0.500 0.204 0.750
Ge4 0.500 0.796 0.250
Pt1 0.000 0.205 0.750
Pt2 0.000 0.795 0.250
Pt3 0.500 0.295 0.250
Pt4 0.500 0.705 0.750

***

(3)
Material: MgGePt6
Method: DFT, PBE
State: optimized geometry

Results
Density of states at the Fermi level in states/eV per atom: 0.952
Energy of formation from the pure elements in eV/atom: -0.453
Space group: P4/mmm

Unit cell a=3.958 b=3.958 c=7.954 alpha=90.00 beta=90.00 gamma=90.00
Sites, in units of the cell vectors:
Mg1 0.000 0.000 0.000
Ge1 0.000 0.000 0.500
Pt1 0.000 0.500 0.250
Pt2 0.000 0.500 0.750
Pt3 0.500 0.000 0.250
Pt4 0.500 0.000 0.750
Pt5 0.500 0.500 0.000
Pt6 0.500 0.500 0.500

***

(4)
Material: MgGePt2
Method: DFT, PBE
State: optimized geometry

Results
Density of states at the Fermi level in states/eV per atom: 0.202
Energy of formation from the pure elements in eV/atom: -0.582
Space group: Pnma

Unit cell a=7.049 b=4.234 c=9.203 alpha=90.00 beta=90.00 gamma=90.00
Sites, in units of the cell vectors:
Mg1 0.170 0.250 0.190
Mg2 0.330 0.750 0.690
Mg3 0.670 0.250 0.310
Mg4 0.830 0.750 0.810
Ge1 0.080 0.750 0.410
Ge2 0.420 0.250 0.910
Ge3 0.580 0.750 0.090
Ge4 0.920 0.250 0.590
Pt1 0.083 0.250 0.822
Pt2 0.244 0.750 0.000
Pt3 0.256 0.250 0.500
Pt4 0.417 0.750 0.322
Pt5 0.583 0.250 0.678
Pt6 0.744 0.750 0.500
Pt7 0.756 0.250 0.000
Pt8 0.917 0.750 0.178

***

(5)
Material: Mg2GePt2
Method: DFT, PBE
State: optimized geometry

Results
Density of states at the Fermi level in states/eV per atom: 0.419
Energy of formation from the pure elements in eV/atom: -0.606
Space group: P4/mbm
Relative energy among the computed polymorphs in meV/atom: 123

Unit cell a=6.633 b=6.633 c=4.040 alpha=90.00 beta=90.00 gamma=90.00
Sites, in units of the cell vectors:
Mg1 0.158 0.342 0.000
Mg2 0.342 0.842 0.000
Mg3 0.658 0.158 0.000
Mg4 0.842 0.658 0.000
Ge1 0.000 0.000 0.500
Ge2 0.500 0.500 0.500
Pt1 0.150 0.650 0.500
Pt2 0.350 0.150 0.500
Pt3 0.650 0.850 0.500
Pt4 0.850 0.350 0.500

***

(6)
Material: MgGe2Pt7
Method: DFT, PBE
State: optimized geometry

Results
Density of states at the Fermi level in states/eV per atom: 0.594
Energy of formation from the pure elements in eV/atom: -0.496
Space group: I4/mmm

Unit cell a=10.487 b=10.487 c=10.487 alpha=157.78 beta=157.78 gamma=31.63
Sites, in units of the cell vectors:
Mg1 0.000 0.000 0.000
Ge1 0.327 0.327 0.000
Ge2 0.673 0.673 0.000
Pt1 0.098 0.598 0.500
Pt2 0.250 0.750 0.500
Pt3 0.402 0.902 0.500
Pt4 0.500 0.500 0.000
Pt5 0.598 0.098 0.500
Pt6 0.750 0.250 0.500
Pt7 0.902 0.402 0.500